The following is a DFT calculation (GGA-PBE) of Pu2Ni5As4 after structural relaxation. Values from VASP.

```
&SYSTEM
  ibrav = 0, nat = 11, ntyp = 3
/
ATOMIC_SPECIES
Pu 244.00 Pu.upf
Ni 58.69 Ni.upf
As 74.92 As.upf
CELL_PARAMETERS angstrom
0.0000 4.8697 6.8762
2.7090 0.0000 6.8762
2.7090 4.8697 0.0000
ATOMIC_POSITIONS crystal
Pu 0.1416 0.1416 0.8584
Pu 0.8584 0.8584 0.1416
Ni 0.0000 0.0000 0.5000
Ni 0.2500 0.2500 0.2500
Ni 0.5000 0.5000 0.0000
Ni 0.5000 0.5000 0.5000
Ni 0.7500 0.7500 0.7500
As 0.2162 0.5253 0.4747
As 0.4747 0.7838 0.2162
As 0.5253 0.2162 0.7838
As 0.7838 0.4747 0.5253
```

Values from the calculation:
- calculated density (g cm⁻³) = 9.9
- formation energy (meV/atom) = -420
- symmetry = No. 69
- E (eV/atom) = -7.345
- magnetic moment (Bohr magnetons per cell) = 11.49
- D(E_F) (states/eV/f.u.) = 28.48

The following is a DFT calculation (GGA-PBE) of RbTl2HgW after structural relaxation. Values from VASP.

```
&SYSTEM
  ibrav = 0, nat = 5, ntyp = 4
/
ATOMIC_SPECIES
Rb 85.47 Rb.upf
Tl 204.38 Tl.upf
Hg 200.59 Hg.upf
W 183.84 W.upf
CELL_PARAMETERS angstrom
6.3634 0.0000 0.0000
0.0000 6.3634 0.0000
0.0000 0.0000 6.0714
ATOMIC_POSITIONS crystal
Rb 0.0000 0.0000 0.0000
Tl 0.0000 0.5000 0.0000
Tl 0.5000 0.0000 0.0000
Hg 0.0000 0.0000 0.5000
W 0.5000 0.5000 0.5000
```

Values from the calculation:
- calculated density (g cm⁻³) = 5.9
- formation energy (meV/atom) = 1919
- symmetry = No. 123
- E (eV/atom) = -1.872
- magnetic moment (Bohr magnetons per cell) = 4.18
- D(E_F) (states/eV/f.u.) = 5.98

The following is a DFT calculation (GGA-PBE) of RbGeTe2 after structural relaxation. Values from VASP.

```
&SYSTEM
  ibrav = 0, nat = 32, ntyp = 3
/
ATOMIC_SPECIES
Rb 85.47 Rb.upf
Ge 72.64 Ge.upf
Te 127.60 Te.upf
CELL_PARAMETERS angstrom
7.4390 -6.3296 0.0000
7.4390 6.3296 0.0000
-4.1164 0.0000 14.9110
ATOMIC_POSITIONS crystal
Rb 0.1161 0.8323 0.8985
Rb 0.1677 0.8839 0.6015
Rb 0.2324 0.3435 0.8587
Rb 0.3435 0.2324 0.3587
Rb 0.6565 0.7676 0.6413
Rb 0.7676 0.6565 0.1413
Rb 0.8323 0.1161 0.3985
Rb 0.8839 0.1677 0.1015
Ge 0.1308 0.6771 0.3297
Ge 0.3229 0.8692 0.1703
Ge 0.3658 0.3895 0.1211
Ge 0.3895 0.3658 0.6211
Ge 0.6105 0.6342 0.3789
Ge 0.6342 0.6105 0.8789
Ge 0.6771 0.1308 0.8297
Ge 0.8692 0.3229 0.6703
Te 0.0867 0.2890 0.5927
Te 0.0979 0.9021 0.2500
Te 0.1301 0.4506 0.2038
Te 0.2890 0.0867 0.0927
Te 0.3630 0.6335 0.4461
Te 0.3665 0.6370 0.0539
Te 0.3963 0.6037 0.7500
Te 0.4506 0.1301 0.7038
Te 0.5494 0.8699 0.2962
Te 0.6037 0.3963 0.2500
Te 0.6335 0.3630 0.9461
Te 0.6370 0.3665 0.5539
Te 0.7110 0.9132 0.9073
Te 0.8699 0.5494 0.7962
Te 0.9021 0.0979 0.7500
Te 0.9132 0.7110 0.4073
```

Values from the calculation:
- calculated density (g cm⁻³) = 3.9
- symmetry = No. 15
- E (eV/atom) = -3.436
- formation energy without anion corrections (meV/atom) = -469
- magnetic moment (Bohr magnetons per cell) = 0.00

The following is a DFT calculation (GGA-PBE) of RhAu after structural relaxation. Values from VASP.

```
&SYSTEM
  ibrav = 0, nat = 2, ntyp = 2
/
ATOMIC_SPECIES
Rh 102.91 Rh.upf
Au 196.97 Au.upf
CELL_PARAMETERS angstrom
0.0000 2.6525 2.6525
2.6525 0.0000 2.6525
2.6525 2.6525 0.0000
ATOMIC_POSITIONS crystal
Rh 0.0000 0.0000 0.0000
Au 0.5000 0.5000 0.5000
```

Values from the calculation:
- calculated density (g cm⁻³) = 13.3
- formation energy (meV/atom) = 747
- symmetry = No. 225
- E (eV/atom) = -4.568
- magnetic moment (Bohr magnetons per cell) = 0.31
- D(E_F) (states/eV/f.u.) = 4.01

The following is a DFT calculation (GGA-PBE) of Te4PdRh after structural relaxation. Values from VASP.

```
&SYSTEM
  ibrav = 0, nat = 6, ntyp = 3
/
ATOMIC_SPECIES
Te 127.60 Te.upf
Pd 106.42 Pd.upf
Rh 102.91 Rh.upf
CELL_PARAMETERS angstrom
5.2704 0.0000 0.0000
0.0000 4.0443 0.0000
-0.0656 0.0000 7.0259
ATOMIC_POSITIONS crystal
Te 0.2406 0.0000 0.1549
Te 0.2470 0.5000 0.6707
Te 0.7530 0.5000 0.3293
Te 0.7594 0.0000 0.8451
Pd 0.5000 0.0000 0.5000
Rh 0.5000 0.5000 0.0000
```

Values from the calculation:
- calculated density (g cm⁻³) = 8.0
- symmetry = No. 10
- E (eV/atom) = -4.562
- formation energy without anion corrections (meV/atom) = -377
- magnetic moment (Bohr magnetons per cell) = 0.00
- D(E_F) (states/eV/f.u.) = 2.30

The following is a DFT calculation (GGA-PBE) of CaTa2P after structural relaxation. Values from VASP.

```
&SYSTEM
  ibrav = 0, nat = 4, ntyp = 3
/
ATOMIC_SPECIES
Ca 40.08 Ca.upf
Ta 180.95 Ta.upf
P 30.97 P.upf
CELL_PARAMETERS angstrom
1.7422 1.0058 8.3107
-1.7422 1.0058 8.3107
0.0000 -2.0117 8.3107
ATOMIC_POSITIONS crystal
Ca 0.0000 0.0000 0.0000
Ta 0.2199 0.2199 0.2199
Ta 0.7801 0.7801 0.7801
P 0.5000 0.5000 0.5000
```

Values from the calculation:
- calculated density (g cm⁻³) = 8.2
- formation energy (meV/atom) = 74
- ΔE to the lowest computed polymorph (meV/atom) = 225
- symmetry = No. 166
- E (eV/atom) = -7.705
- magnetic moment (Bohr magnetons per cell) = 0.22
- D(E_F) (states/eV/f.u.) = 3.42

The following is a DFT calculation (GGA-PBE) of Er4AsP2S after structural relaxation. Values from VASP.

```
&SYSTEM
  ibrav = 0, nat = 8, ntyp = 4
/
ATOMIC_SPECIES
Er 167.26 Er.upf
As 74.92 As.upf
P 30.97 P.upf
S 32.06 S.upf
CELL_PARAMETERS angstrom
6.8736 0.0000 0.0000
0.0000 3.9745 0.0000
-2.2840 0.0000 6.5007
ATOMIC_POSITIONS crystal
Er 0.2467 0.0000 0.2414
Er 0.2528 0.5000 0.7575
Er 0.7472 0.5000 0.2425
Er 0.7533 0.0000 0.7586
As 0.0000 0.0000 0.5000
P 0.0000 0.5000 0.0000
P 0.5000 0.0000 0.0000
S 0.5000 0.5000 0.5000
```

Values from the calculation:
- calculated density (g cm⁻³) = 7.8
- symmetry = No. 10
- E (eV/atom) = -6.463
- formation energy without anion corrections (meV/atom) = -1732
- magnetic moment (Bohr magnetons per cell) = 0.00
- D(E_F) (states/eV/f.u.) = 1.20

The following is a DFT calculation (GGA-PBE) of BaAcCd2 after structural relaxation. Values from VASP.

```
&SYSTEM
  ibrav = 0, nat = 4, ntyp = 3
/
ATOMIC_SPECIES
Ba 137.33 Ba.upf
Ac 227.00 Ac.upf
Cd 112.41 Cd.upf
CELL_PARAMETERS angstrom
4.1512 0.0000 0.0000
0.0000 4.1512 0.0000
0.0000 0.0000 8.3978
ATOMIC_POSITIONS crystal
Ba 0.0000 0.0000 0.0000
Ac 0.0000 0.0000 0.5000
Cd 0.5000 0.5000 0.2696
Cd 0.5000 0.5000 0.7304
```

Values from the calculation:
- calculated density (g cm⁻³) = 6.8
- formation energy (meV/atom) = -311
- symmetry = No. 123
- E (eV/atom) = -2.277
- magnetic moment (Bohr magnetons per cell) = 0.08
- D(E_F) (states/eV/f.u.) = 3.33

The following is a DFT calculation (GGA-PBE) of TcNi2Se2 after structural relaxation. Values from VASP.

```
&SYSTEM
  ibrav = 0, nat = 10, ntyp = 3
/
ATOMIC_SPECIES
Tc 98.00 Tc.upf
Ni 58.69 Ni.upf
Se 78.96 Se.upf
CELL_PARAMETERS angstrom
6.7170 0.0000 0.0000
0.0000 6.7170 0.0000
0.0000 0.0000 3.1804
ATOMIC_POSITIONS crystal
Tc 0.0000 0.0000 0.0000
Tc 0.5000 0.5000 0.0000
Ni 0.1260 0.3740 0.0000
Ni 0.3740 0.8740 0.0000
Ni 0.6260 0.1260 0.0000
Ni 0.8740 0.6260 0.0000
Se 0.1825 0.6825 0.5000
Se 0.3175 0.1825 0.5000
Se 0.6825 0.8175 0.5000
Se 0.8175 0.3175 0.5000
```

Values from the calculation:
- calculated density (g cm⁻³) = 8.6
- ΔE to the lowest computed polymorph (meV/atom) = 0
- symmetry = No. 127
- E (eV/atom) = -5.513
- formation energy without anion corrections (meV/atom) = 267
- magnetic moment (Bohr magnetons per cell) = 2.52
- D(E_F) (states/eV/f.u.) = 4.16

The following is a DFT calculation (GGA-PBE) of ZnCoCl after structural relaxation. Values from VASP.

```
&SYSTEM
  ibrav = 0, nat = 3, ntyp = 3
/
ATOMIC_SPECIES
Zn 65.41 Zn.upf
Co 58.93 Co.upf
Cl 35.45 Cl.upf
CELL_PARAMETERS angstrom
0.0000 2.9310 2.9310
2.9310 0.0000 2.9310
2.9310 2.9310 0.0000
ATOMIC_POSITIONS crystal
Zn 0.0000 0.0000 0.0000
Co 0.2500 0.2500 0.2500
Cl 0.5000 0.5000 0.5000
```

Values from the calculation:
- calculated density (g cm⁻³) = 5.3
- ΔE to the lowest computed polymorph (meV/atom) = 432
- symmetry = No. 216
- E (eV/atom) = -2.953
- formation energy without anion corrections (meV/atom) = 456
- magnetic moment (Bohr magnetons per cell) = 1.01
- D(E_F) (states/eV/f.u.) = 5.23

Please write out number 10 again, unchanged.
The following is a DFT calculation (GGA-PBE) of ZnCoCl after structural relaxation. Values from VASP.

```
&SYSTEM
  ibrav = 0, nat = 3, ntyp = 3
/
ATOMIC_SPECIES
Zn 65.41 Zn.upf
Co 58.93 Co.upf
Cl 35.45 Cl.upf
CELL_PARAMETERS angstrom
0.0000 2.9310 2.9310
2.9310 0.0000 2.9310
2.9310 2.9310 0.0000
ATOMIC_POSITIONS crystal
Zn 0.0000 0.0000 0.0000
Co 0.2500 0.2500 0.2500
Cl 0.5000 0.5000 0.5000
```

Values from the calculation:
- calculated density (g cm⁻³) = 5.3
- ΔE to the lowest computed polymorph (meV/atom) = 432
- symmetry = No. 216
- E (eV/atom) = -2.953
- formation energy without anion corrections (meV/atom) = 456
- magnetic moment (Bohr magnetons per cell) = 1.01
- D(E_F) (states/eV/f.u.) = 5.23

> Which value of calculated density does entry 9 give?

8.6 g cm⁻³